# 1
The following is a PBE calculation of a relaxed HgAs2Se crystal, from Alexandria via LeMat-Bulk.

abc: 4.9205 4.9205 4.9205
angles: 60.00 60.00 60.00
Last column: nearest neighbours and their distance in Å.
Element x y z (fractional)
Hg (0.0000, 0.0000, 0.0000)  8 As 3.01
As (0.2500, 0.2500, 0.2500)  4 Hg 3.01, 4 Se 3.01
As (0.7500, 0.7500, 0.7500)  4 Hg 3.01, 4 Se 3.01
Se (0.5000, 0.5000, 0.5000)  8 As 3.01

Results
relative energy among the computed polymorphs	464	meV per atom
E	-2.77	eV/atom
symmetry	Fm-3m (225)
size of the total moment	0.00	μB/atom

---

# 2
The following is a PBE calculation of a relaxed HgAs2Se crystal, from Alexandria via LeMat-Bulk.

abc: 3.5347 4.3759 5.6797
angles: 90.00 90.00 90.00
Last column: nearest neighbours and their distance in Å.
Element x y z (fractional)
Hg (0.0000, 0.0000, 0.0000)  4 As 2.81
As (0.0000, 0.5000, 0.5000)  4 Se 2.81
As (0.5000, 0.5000, 0.0000)  4 Hg 2.81
Se (0.5000, 0.0000, 0.5000)  4 As 2.81

Results
relative energy among the computed polymorphs	375	meV per atom
E	-2.86	eV/atom
symmetry	Pmmm (47)
size of the total moment	0.00	μB/atom

---

# 3
The following is a PBE calculation of a relaxed HgAsSe3 crystal, from Alexandria via LeMat-Bulk.

abc: 5.1935 5.1935 5.1935
angles: 90.00 90.00 90.00
Last column: nearest neighbours and their distance in Å.
Element x y z (fractional)
Hg (0.0000, 0.0000, 0.0000)  6 Se 2.60
As (0.5000, 0.5000, 0.5000)  12 Se 3.67
Se (0.0000, 0.0000, 0.5000)  2 Hg 2.60
Se (0.0000, 0.5000, 0.0000)  2 Hg 2.60
Se (0.5000, 0.0000, 0.0000)  2 Hg 2.60

Results
E	-2.13	eV/atom
symmetry	Pm-3m (221)
size of the total moment	0.00	μB/atom

---

# 4
The following is a PBE calculation of a relaxed Hg3AsSe crystal, from Alexandria via LeMat-Bulk.

abc: 5.2718 5.2718 5.2718
angles: 90.00 90.00 90.00
Last column: nearest neighbours and their distance in Å.
Element x y z (fractional)
Hg (0.0000, 0.0000, 0.5000)  2 As 2.64
Hg (0.0000, 0.5000, 0.0000)  2 As 2.64
Hg (0.5000, 0.0000, 0.0000)  2 As 2.64
As (0.0000, 0.0000, 0.0000)  6 Hg 2.64
Se (0.5000, 0.5000, 0.5000)  12 Hg 3.73

Results
relative energy among the computed polymorphs	312	meV per atom
E	-1.53	eV/atom
symmetry	Pm-3m (221)
size of the total moment	0.00	μB/atom

---

# 5
The following is a PBE calculation of a relaxed HgAs2Se crystal, from Alexandria via LeMat-Bulk.

abc: 9.4315 9.4315 9.4315
angles: 21.62 21.62 21.62
Last column: nearest neighbours and their distance in Å.
Element x y z (fractional)
Hg (0.0000, 0.0000, 0.0000)  6 Hg 3.54, 3 As 3.54, 3 Se 3.61
As (0.2285, 0.2285, 0.2285)  3 As 2.58
As (0.5045, 0.5045, 0.5045)  3 As 2.58, 3 Se 2.69
Se (0.7745, 0.7745, 0.7745)  3 As 2.69

Results
relative energy among the computed polymorphs	146	meV per atom
E	-3.09	eV/atom
symmetry	R3m (160)
size of the total moment	0.00	μB/atom

---

# 6
The following is a PBE calculation of a relaxed HgAs4Se crystal, from Alexandria via LeMat-Bulk.

abc: 5.9441 5.9441 5.9441
angles: 60.00 60.00 60.00
Last column: nearest neighbours and their distance in Å.
Element x y z (fractional)
Hg (0.0000, 0.0000, 0.0000)  12 As 3.54, 4 Se 3.64
As (0.3937, 0.3937, 0.3937)  3 As 2.53
As (0.3937, 0.3937, 0.8188)  3 As 2.53
As (0.3937, 0.8188, 0.3937)  3 As 2.53
As (0.8188, 0.3937, 0.3937)  3 As 2.53
Se (0.7500, 0.7500, 0.7500)  12 As 3.45, 4 Hg 3.64

Results
E	-3.29	eV/atom
symmetry	F-43m (216)
size of the total moment	0.16	μB/atom

---

# 7
The following is a PBE calculation of a relaxed Hg2AsSe4 crystal, from Alexandria via LeMat-Bulk.

abc: 7.1109 7.1109 7.1109
angles: 129.73 129.73 73.83
Last column: nearest neighbours and their distance in Å.
Element x y z (fractional)
Hg (0.2500, 0.7500, 0.5000)  4 Se 2.71
Hg (0.7500, 0.2500, 0.5000)  4 Se 2.71
As (0.0000, 0.0000, 0.0000)  4 Se 2.52
Se (0.1573, 0.6362, 0.0000)  1 As 2.52, 2 Hg 2.71
Se (0.3638, 0.3638, 0.5211)  1 As 2.52, 2 Hg 2.71
Se (0.6362, 0.1573, 0.0000)  1 As 2.52, 2 Hg 2.71
Se (0.8427, 0.8427, 0.4789)  1 As 2.52, 2 Hg 2.71

Results
E	-2.80	eV/atom
symmetry	I-42m (121)
size of the total moment	0.00	μB/atom

---

# 8
The following is a PBE calculation of a relaxed Hg3AsSe crystal, from Alexandria via LeMat-Bulk.

abc: 7.4155 8.6993 10.0104
angles: 83.56 83.34 89.49
Last column: nearest neighbours and their distance in Å.
Element x y z (fractional)
Hg (0.0453, 0.3806, 0.3220)  2 As 2.57-2.59
Hg (0.2027, 0.2380, 0.7808)  1 As 2.57, 1 Se 2.60
Hg (0.2328, 0.8592, 0.0348)  2 Se 2.51-2.53
Hg (0.2879, 0.0052, 0.3693)  1 Se 2.55, 1 As 2.55
Hg (0.3410, 0.2391, 0.0764)  6 Hg 3.24-3.49, 1 As 3.47
Hg (0.4490, 0.6267, 0.6776)  2 As 2.57-2.59
Hg (0.5510, 0.3733, 0.3224)  2 As 2.57-2.59
Hg (0.6590, 0.7609, 0.9236)  6 Hg 3.24-3.49, 1 As 3.47
Hg (0.7121, 0.9948, 0.6307)  1 Se 2.55, 1 As 2.55
Hg (0.7672, 0.1408, 0.9652)  2 Se 2.51-2.53
Hg (0.7973, 0.7620, 0.2192)  1 As 2.57, 1 Se 2.60
Hg (0.9547, 0.6194, 0.6780)  2 As 2.57-2.59
As (0.1790, 0.5168, 0.8439)  3 Hg 2.57
As (0.2722, 0.2557, 0.4800)  3 Hg 2.55-2.59
As (0.7278, 0.7443, 0.5200)  3 Hg 2.55-2.59
As (0.8210, 0.4832, 0.1561)  3 Hg 2.57
Se (0.1653, 0.9399, 0.7968)  2 Hg 2.51-2.60
Se (0.3124, 0.7507, 0.2652)  2 Hg 2.53-2.55
Se (0.6876, 0.2493, 0.7348)  2 Hg 2.53-2.55
Se (0.8347, 0.0601, 0.2032)  2 Hg 2.51-2.60

Results
relative energy among the computed polymorphs	0	meV per atom
E	-1.84	eV/atom
symmetry	P-1 (2)
size of the total moment	0.00	μB/atom

---

# 9
The following is a PBE calculation of a relaxed HgAs2Se crystal, from Alexandria via LeMat-Bulk.

abc: 2.9942 2.9942 10.9253
angles: 90.00 90.00 108.31
Last column: nearest neighbours and their distance in Å.
Element x y z (fractional)
Hg (0.0000, 0.0000, 0.0000)  4 Hg 2.99
As (0.0000, 0.0000, 0.4722)  2 As 2.59
As (0.5000, 0.5000, 0.2975)  2 As 2.59
Se (0.5000, 0.5000, 0.7190)  4 Se 2.99, 2 As 3.22

Results
relative energy among the computed polymorphs	285	meV per atom
E	-2.95	eV/atom
symmetry	Cmm2 (35)
size of the total moment	0.00	μB/atom

---

# 10
The following is a PBE calculation of a relaxed Sm6HgAs2Se3 crystal, from Alexandria via LeMat-Bulk.

abc: 9.4554 9.4554 8.5350
angles: 102.99 102.99 25.62
Last column: nearest neighbours and their distance in Å.
Element x y z (fractional)
Sm (0.0021, 0.0021, 0.2612)  3 Se 2.93-3.04, 1 As 2.96, 2 Hg 3.05
Sm (0.3302, 0.3302, 0.4229)  3 As 2.93-2.94, 3 Se 3.03-3.05
Sm (0.3305, 0.3305, 0.9075)  3 Se 2.93-3.05, 2 As 2.95, 1 Hg 3.04
Sm (0.6695, 0.6695, 0.0925)  3 Se 2.93-3.05, 2 As 2.95, 1 Hg 3.04
Sm (0.6698, 0.6698, 0.5771)  3 As 2.93-2.94, 3 Se 3.03-3.05
Sm (0.9979, 0.9979, 0.7388)  3 Se 2.93-3.04, 1 As 2.96, 2 Hg 3.05
Hg (0.5000, 0.5000, 0.0000)  6 Sm 3.04-3.05
As (0.1669, 0.1669, 0.3345)  6 Sm 2.93-2.96
As (0.8331, 0.8331, 0.6655)  6 Sm 2.93-2.96
Se (0.1672, 0.1672, 0.8324)  6 Sm 2.93-3.05
Se (0.5000, 0.5000, 0.5000)  6 Sm 2.93-3.05
Se (0.8328, 0.8328, 0.1676)  6 Sm 2.93-3.05

Results
E	-5.54	eV/atom
symmetry	C2/m (12)
size of the total moment	0.00	μB/atom

---

# 11
The following is a PBE calculation of a relaxed SnHgAs2Se crystal, from Alexandria via LeMat-Bulk.

abc: 5.3698 5.3698 5.3042
angles: 90.00 90.00 90.00
Last column: nearest neighbours and their distance in Å.
Element x y z (fractional)
Sn (0.0000, 0.0000, 0.0000)  2 Se 2.65, 4 As 2.68
Hg (0.5000, 0.5000, 0.5000)  8 As 3.77, 4 Se 3.80
As (0.0000, 0.5000, 0.0000)  2 Sn 2.68
As (0.5000, 0.0000, 0.0000)  2 Sn 2.68
Se (0.0000, 0.0000, 0.5000)  2 Sn 2.65

Results
relative energy among the computed polymorphs	0	meV per atom
E	-2.72	eV/atom
symmetry	P4/mmm (123)
size of the total moment	0.25	μB/atom

---

# 12
The following is a PBE calculation of a relaxed Sn2HgAs2Se crystal, from Alexandria via LeMat-Bulk.

abc: 8.4066 8.4066 6.6830
angles: 90.00 90.00 48.46
Last column: nearest neighbours and their distance in Å.
Element x y z (fractional)
Sn (0.0231, 0.6385, 0.5000)  3 As 2.70-2.75, 1 Se 2.73
Sn (0.3615, 0.9769, 0.5000)  3 As 2.70-2.75, 1 Se 2.73
Sn (0.6385, 0.0231, 0.0000)  3 As 2.70-2.75, 1 Se 2.73
Sn (0.9769, 0.3615, 0.0000)  3 As 2.70-2.75, 1 Se 2.73
Hg (0.2894, 0.7106, 0.0006)  2 As 2.69, 2 Se 2.86-2.91
Hg (0.7106, 0.2894, 0.5006)  2 As 2.69, 2 Se 2.86-2.91
As (0.0241, 0.6466, 0.0933)  1 Hg 2.69, 3 Sn 2.70-2.75
As (0.3534, 0.9759, 0.0933)  1 Hg 2.69, 3 Sn 2.70-2.75
As (0.6466, 0.0241, 0.5933)  1 Hg 2.69, 3 Sn 2.70-2.75
As (0.9759, 0.3534, 0.5933)  1 Hg 2.69, 3 Sn 2.70-2.75
Se (0.2952, 0.7048, 0.5723)  2 Sn 2.73, 2 Hg 2.86-2.91
Se (0.7048, 0.2952, 0.0723)  2 Sn 2.73, 2 Hg 2.86-2.91

Results
E	-3.57	eV/atom
symmetry	Cmc2_1 (36)
size of the total moment	0.00	μB/atom

---

Question: Which formula does entry 3 have?
Answer: HgAsSe3

---

Question: What is the E in the fifth record?
Answer: -3.09 eV/atom

---

Question: Look up the E of the third one.
Answer: -2.13 eV/atom